# UNbO6 PBE-GGA relaxed
# * magnetic moment: 0.130 μB per atom
# * raw formation energy: -241.61 kJ per mole of atoms
# * density of states at the Fermi level: 0.7314 states/eV per atom
data_UNbO6
_cell_length_a 5.759
_cell_length_b 5.759
_cell_length_c 5.761
_cell_angle_alpha 60.01
_cell_angle_beta 60.01
_cell_angle_gamma 60.00
_symmetry_space_group_name_H-M 'P 1'
_symmetry_Int_Tables_number 1
loop_
_symmetry_equiv_pos_as_xyz
'x,y,z'
loop_
_atom_site_label
_atom_site_type_symbol
_atom_site_fract_x
_atom_site_fract_y
_atom_site_fract_z
U1 U 0.000 0.000 0.000
Nb1 Nb 0.500 0.500 0.500
O1 O 0.256 0.253 0.746
O2 O 0.746 0.256 0.745
O3 O 0.746 0.255 0.255
O4 O 0.254 0.744 0.255
O5 O 0.744 0.747 0.254
O6 O 0.254 0.745 0.745